[1]
The following is a DFT calculation (PBE) of a relaxed La6NdTm5 crystal.

Values from the calculation:
Energy of formation from the pure elements   0.023 eV per atom
M_tot   0.000 μB/f.u.
Polymorph energy (0 for the lowest one)   0 meV/atom
Theoretical density   7.45 g/cm³

Cell and atoms, written as CIF:
```
data_La6NdTm5
_space_group_name_H-M_alt 'I m m m'
_space_group_IT_number 71
_space_group_name_Hall '-I 2 2'
_cell_length_a 5.230
_cell_length_b 9.915
_cell_length_c 15.675
_cell_angle_alpha 90.00
_cell_angle_beta 90.00
_cell_angle_gamma 90.00
loop_
_atom_site_label
_atom_site_type_symbol
_atom_site_fract_x
_atom_site_fract_y
_atom_site_fract_z
La1 La 0.000 0.246 0.000
La2 La 0.000 0.252 0.333
Nd1 Nd 0.000 0.000 0.500
Tm1 Tm 0.000 0.000 0.168
Tm2 Tm 0.000 0.500 0.167
Tm3 Tm 0.000 0.500 0.500
```

=====

[2]
The following is a DFT calculation (PBE) of a relaxed LaNd3Tm crystal.

Values from the calculation:
Energy of formation from the pure elements   0.361 eV per atom
M_tot   0.000 μB/f.u.
Polymorph energy (0 for the lowest one)   239 meV/atom
Theoretical density   6.45 g/cm³

Cell and atoms, written as CIF:
```
data_LaNd3Tm
_space_group_name_H-M_alt 'R -3'
_space_group_IT_number 148
_space_group_name_Hall '-R 3'
_cell_length_a 6.2415
_cell_length_b 6.2415
_cell_length_c 33.8881
_cell_angle_alpha 90.00
_cell_angle_beta 90.00
_cell_angle_gamma 120.00
loop_
_atom_site_label
_atom_site_type_symbol
_atom_site_fract_x
_atom_site_fract_y
_atom_site_fract_z
La1 La 0.0000 0.0000 0.1661
Nd1 Nd 0.0032 0.3303 0.0809
Tm1 Tm 0.0000 0.0000 0.3341
```

=====

[3]
The following is a DFT calculation (PBE) of a relaxed LaNd3Tm3 crystal.

Values from the calculation:
Energy of formation from the pure elements   0.029 eV per atom
M_tot   0.001 μB/f.u.
Polymorph energy (0 for the lowest one)   0 meV/atom
Theoretical density   7.63 g/cm³

Cell and atoms, written as CIF:
```
data_LaNd3Tm3
_space_group_name_H-M_alt 'P 63/m'
_space_group_IT_number 176
_space_group_name_Hall '-P 6c'
_cell_length_a 9.6726
_cell_length_b 9.6726
_cell_length_c 5.7948
_cell_angle_alpha 90.00
_cell_angle_beta 90.00
_cell_angle_gamma 120.00
loop_
_atom_site_label
_atom_site_type_symbol
_atom_site_fract_x
_atom_site_fract_y
_atom_site_fract_z
La1 La 0.3333 0.6667 0.2500
Nd1 Nd 0.0951 0.6215 0.7500
Tm1 Tm 0.0448 0.8149 0.2500
```